(1)
HfFeHRu2 after structural relaxation. Source: Alexandria, functional GGA-PBE.

Lattice parameters (Å, degrees): 4.0595 4.0595 3.7328 90.00 90.00 90.00
Sites, in units of the cell vectors:
Hf 0.0000 0.0000 0.0000
Fe 0.5000 0.5000 0.0000
H 0.5000 0.5000 0.5000
Ru 0.0000 0.5000 0.5000
Ru 0.5000 0.0000 0.5000

Summary:
- E (eV per cell) = -41.4
- crystal system = tetragonal
- total magnetization (μB/cell) = 2.47


(2)
HfFe2HRu after structural relaxation. Source: Alexandria, functional GGA-PBE.

Lattice parameters (Å, degrees): 3.7772 3.7772 4.1811 90.00 90.00 90.00
Sites, in units of the cell vectors:
Hf 0.0000 0.0000 0.0000
Fe 0.0000 0.5000 0.5000
Fe 0.5000 0.0000 0.5000
H 0.5000 0.5000 0.5000
Ru 0.5000 0.5000 0.0000

Summary:
- E (eV per cell) = -40.3
- crystal system = tetragonal
- total magnetization (μB/cell) = 4.73


(3)
HfFeHRu2 after structural relaxation. Source: Alexandria, functional GGA-PBE.

Lattice parameters (Å, degrees): 3.9264 3.9264 4.0356 90.00 90.00 90.00
Sites, in units of the cell vectors:
Hf 0.0000 0.0000 0.0000
Fe 0.5000 0.5000 0.0000
H 0.0000 0.0000 0.5000
Ru 0.0000 0.5000 0.5000
Ru 0.5000 0.0000 0.5000

Summary:
- E (eV per cell) = -41.0
- crystal system = tetragonal
- total magnetization (μB/cell) = 2.18


(4)
HfFe2HRu after structural relaxation. Source: Alexandria, functional GGA-PBE.

Lattice parameters (Å, degrees): 3.7183 3.7183 4.3395 90.00 90.00 90.00
Sites, in units of the cell vectors:
Hf 0.0000 0.0000 0.0000
Fe 0.0000 0.5000 0.5000
Fe 0.5000 0.0000 0.5000
H 0.0000 0.0000 0.5000
Ru 0.5000 0.5000 0.0000

Summary:
- E (eV per cell) = -40.2
- crystal system = tetragonal
- total magnetization (μB/cell) = 4.80


(5)
Hf2FeSbH after structural relaxation. Source: Alexandria, functional GGA-PBE.

Lattice parameters (Å, degrees): 4.3524 4.3524 4.0467 90.00 90.00 90.00
Sites, in units of the cell vectors:
Hf 0.0000 0.5000 0.0000
Hf 0.5000 0.0000 0.0000
Fe 0.0000 0.0000 0.5000
Sb 0.5000 0.5000 0.5000
H 0.0000 0.0000 0.0000

Summary:
- E (eV per cell) = -37.0
- crystal system = tetragonal
- total magnetization (μB/cell) = 2.20


(6)
HfFe2SiH after structural relaxation. Source: Alexandria, functional GGA-PBE.

Lattice parameters (Å, degrees): 5.2943 5.2943 6.9717 90.00 90.00 143.98
Sites, in units of the cell vectors:
Hf 0.0471 0.9529 0.7500
Hf 0.9529 0.0471 0.2500
Fe 0.3445 0.6555 0.5508
Fe 0.3445 0.6555 0.9492
Fe 0.6555 0.3445 0.0508
Fe 0.6555 0.3445 0.4492
Si 0.2334 0.7666 0.2500
Si 0.7666 0.2334 0.7500
H 0.5000 0.5000 0.0000
H 0.5000 0.5000 0.5000

Summary:
- E (eV per cell) = -75.8
- crystal system = orthorhombic
- total magnetization (μB/cell) = 4.98


(7)
HfFe2SnH after structural relaxation. Source: Alexandria, functional GGA-PBE.

Lattice parameters (Å, degrees): 4.0871 4.0871 3.8077 90.00 90.00 90.00
Sites, in units of the cell vectors:
Hf 0.0000 0.0000 0.0000
Fe 0.0000 0.5000 0.5000
Fe 0.5000 0.0000 0.5000
Sn 0.5000 0.5000 0.0000
H 0.0000 0.0000 0.5000

Summary:
- E (eV per cell) = -34.3
- crystal system = tetragonal
- total magnetization (μB/cell) = 0.69


(8)
Hf2FeSnH after structural relaxation. Source: Alexandria, functional GGA-PBE.

Lattice parameters (Å, degrees): 4.4195 4.4195 3.9550 90.00 90.00 90.00
Sites, in units of the cell vectors:
Hf 0.0000 0.5000 0.0000
Hf 0.5000 0.0000 0.0000
Fe 0.0000 0.0000 0.5000
Sn 0.5000 0.5000 0.5000
H 0.0000 0.0000 0.0000

Summary:
- E (eV per cell) = -36.8
- crystal system = tetragonal
- total magnetization (μB/cell) = 2.13


(9)
SrHf2FeH after structural relaxation. Source: Alexandria, functional GGA-PBE.

Lattice parameters (Å, degrees): 5.2932 5.2932 3.5327 90.00 90.00 90.00
Sites, in units of the cell vectors:
Sr 0.0000 0.0000 0.0000
Hf 0.0000 0.5000 0.0000
Hf 0.5000 0.0000 0.0000
Fe 0.5000 0.5000 0.5000
H 0.0000 0.0000 0.5000

Summary:
- E (eV per cell) = -23.9
- crystal system = tetragonal
- total magnetization (μB/cell) = 0.00


(10)
Hf2FeTcH after structural relaxation. Source: Alexandria, functional GGA-PBE.

Lattice parameters (Å, degrees): 4.8670 4.8670 3.1561 90.00 90.00 90.00
Sites, in units of the cell vectors:
Hf 0.0000 0.5000 0.0000
Hf 0.5000 0.0000 0.0000
Fe 0.0000 0.0000 0.0000
Tc 0.5000 0.5000 0.5000
H 0.0000 0.0000 0.5000

Summary:
- E (eV per cell) = -40.5
- crystal system = tetragonal
- total magnetization (μB/cell) = 0.05


(11)
Hf2FeTcH after structural relaxation. Source: Alexandria, functional GGA-PBE.

Lattice parameters (Å, degrees): 4.5430 4.5430 3.3021 90.00 90.00 90.00
Sites, in units of the cell vectors:
Hf 0.0000 0.5000 0.0000
Hf 0.5000 0.0000 0.0000
Fe 0.0000 0.0000 0.5000
Tc 0.5000 0.5000 0.5000
H 0.0000 0.0000 0.0000

Summary:
- E (eV per cell) = -44.1
- crystal system = tetragonal
- total magnetization (μB/cell) = 0.00


(12)
HfFeTc2H after structural relaxation. Source: Alexandria, functional GGA-PBE.

Lattice parameters (Å, degrees): 4.2985 4.2985 3.4293 90.00 90.00 90.00
Sites, in units of the cell vectors:
Hf 0.0000 0.0000 0.0000
Fe 0.5000 0.5000 0.0000
Tc 0.0000 0.5000 0.5000
Tc 0.5000 0.0000 0.5000
H 0.5000 0.5000 0.5000

Summary:
- E (eV per cell) = -42.8
- crystal system = tetragonal
- total magnetization (μB/cell) = 2.94